{
  "formula": "SrLaZnBi",
  "functional": "PBE",
  "state": "optimized geometry",
  "volume_a3_per_cell": 124.6,
  "space_group": "No. 216",
  "e_tot_ev_per_atom": -3.4220,
  "cell": [[5.607, 0.000, 0.000], [2.803, 4.856, 0.000], [2.803, 1.619, 4.578]],
  "species": ["Zn", "Sr", "Bi", "La"],
  "fractional_positions": [[0.000, 0.000, 0.000], [0.750, 0.750, 0.750], [0.500, 0.500, 0.500], [0.250, 0.250, 0.250]]
}